LiPd3C PBE optimized geometry; polymorph energy (0 for the lowest one) = 0 meV/atom; symmetry = Pm-3m, No. 221
1.0
4.1263 0.0000 0.0000
0.0000 4.1263 0.0000
0.0000 0.0000 4.1263
Pd C Li
3 1 1
direct
0.0000 0.5000 0.0000
0.0000 0.0000 0.5000
0.5000 0.0000 0.0000
0.0000 0.0000 0.0000
0.5000 0.5000 0.5000

***

NaAl2Ge2 PBE optimized geometry; polymorph energy (0 for the lowest one) = 0 meV/atom; symmetry = P6_3/mmc, No. 194
1.0
-3.0543 -2.5827 1.0217
3.9311 -1.1227 0.5734
-0.3456 5.9699 14.0577
Na Ge Al
2 4 4
direct
0.0000 0.0000 0.7500
0.0000 0.0000 0.2500
0.6667 0.3333 0.3818
0.3333 0.6667 0.6182
0.6667 0.3333 0.1182
0.3333 0.6667 0.8818
0.3333 0.6667 0.4443
0.6667 0.3333 0.5557
0.6667 0.3333 0.9443
0.3333 0.6667 0.0557

***

Sm2I PBE optimized geometry; symmetry = Fmmm, No. 69; uncorrected formation energy = -465 meV per atom
1.0
-2.6816 -0.4707 -2.5332
0.7834 -3.5246 0.8908
-4.0921 2.2153 6.1168
Sm I
2 1
direct
0.1640 0.1640 0.3279
0.8360 0.8360 0.6721
0.5000 0.5000 0.0000

***

Os2CO PBE optimized geometry; polymorph energy (0 for the lowest one) = 544 meV/atom; symmetry = Fm-3m, No. 225; uncorrected formation energy = 1172 meV per atom
1.0
0.0000 2.7314 2.7314
2.7314 0.0000 2.7314
2.7314 2.7314 0.0000
Os O C
2 1 1
direct
0.7500 0.7500 0.7500
0.2500 0.2500 0.2500
0.5000 0.5000 0.5000
0.0000 0.0000 0.0000

***

K2As4Ru PBE optimized geometry; symmetry = I4/mmm, No. 139
1.0
4.8144 0.0000 0.0000
0.0000 4.8144 0.0000
2.4072 2.4072 8.7666
Ru K As
1 2 4
direct
0.0000 0.0000 0.0000
0.3389 0.3389 0.3222
0.6611 0.6611 0.6778
0.0000 0.5000 0.0000
0.1427 0.1427 0.7147
0.8573 0.8573 0.2853
0.5000 0.0000 0.0000

***

Be2AuF PBE optimized geometry; polymorph energy (0 for the lowest one) = 580 meV/atom; symmetry = Fm-3m, No. 225; uncorrected formation energy = -140 meV per atom
1.0
0.0000 2.8911 2.8911
2.8911 0.0000 2.8911
2.8911 2.8911 0.0000
F Be Au
1 2 1
direct
0.0000 0.0000 0.0000
0.7500 0.7500 0.7500
0.2500 0.2500 0.2500
0.5000 0.5000 0.5000

***

AlMoPt3 PBE optimized geometry; polymorph energy (0 for the lowest one) = 410 meV/atom; symmetry = Pm-3m, No. 221
1.0
4.8368 0.0000 0.0000
0.0000 4.8368 0.0000
0.0000 0.0000 4.8368
Pt Mo Al
3 1 1
direct
0.0000 0.5000 0.0000
0.5000 0.0000 0.0000
0.0000 0.0000 0.5000
0.0000 0.0000 0.0000
0.5000 0.5000 0.5000

***

Ho6Hg5Au PBE optimized geometry; symmetry = Cmmm, No. 65
1.0
4.9298 -0.0294 1.6429
0.0397 7.3930 0.0132
-0.0062 -0.0147 8.2366
Hg Ho Au
5 6 1
direct
0.6680 0.5000 0.6641
0.3293 0.0000 0.3414
0.6707 0.0000 0.6586
0.3320 0.5000 0.3359
0.0000 0.5000 0.0000
0.8369 0.2473 0.3262
0.1631 0.7527 0.6738
0.5000 0.7579 0.0000
0.1631 0.2473 0.6738
0.8369 0.7527 0.3262
0.5000 0.2421 0.0000
0.0000 0.0000 0.0000

***

Tb3Ga2Si4 PBE optimized geometry; polymorph energy (0 for the lowest one) = 0 meV/atom; symmetry = C2/m, No. 12; uncorrected formation energy = -599 meV per atom
1.0
4.1038 0.0000 0.0000
-2.0519 5.2273 -1.2887
0.0000 0.0670 8.2472
Tb Si Ga
3 4 2
direct
0.6645 0.3291 0.6706
0.3355 0.6709 0.3294
0.0000 0.0000 0.0000
0.9440 0.8881 0.6077
0.0560 0.1119 0.3923
0.7200 0.4399 0.0498
0.2800 0.5601 0.9502
0.3850 0.7699 0.7212
0.6150 0.2301 0.2788

***

Ta2Tl2O7 PBE optimized geometry; symmetry = Fd-3m, No. 227; uncorrected formation energy = -2072 meV per atom
1.0
-6.7211 3.2098 1.4731
-4.6366 -3.0947 5.1547
-1.1653 3.4923 6.6402
O Ta Tl
14 4 4
direct
0.8142 0.8142 0.1858
0.4358 0.0642 0.4358
0.0642 0.0642 0.4358
0.0642 0.4358 0.0642
0.7500 0.7500 0.7500
0.8142 0.1858 0.8142
0.4358 0.0642 0.0642
0.1858 0.8142 0.8142
0.5000 0.5000 0.5000
0.1858 0.1858 0.8142
0.1858 0.8142 0.1858
0.0642 0.4358 0.4358
0.4358 0.4358 0.0642
0.8142 0.1858 0.1858
0.1250 0.1250 0.1250
0.6250 0.1250 0.1250
0.1250 0.1250 0.6250
0.1250 0.6250 0.1250
0.6250 0.6250 0.1250
0.6250 0.6250 0.6250
0.6250 0.1250 0.6250
0.1250 0.6250 0.6250

***

PrDyZnIr PBE optimized geometry; polymorph energy (0 for the lowest one) = 17 meV/atom; symmetry = F-43m, No. 216
1.0
-4.1040 -2.3552 1.7278
-2.6890 -2.9532 -3.0696
0.0438 -4.9968 0.6359
Dy Ir Zn Pr
1 1 1 1
direct
0.7500 0.7500 0.7500
0.5000 0.5000 0.5000
0.0000 0.0000 0.0000
0.2500 0.2500 0.2500

***

MnBeSe2 PBE optimized geometry; symmetry = Cc, No. 9; uncorrected formation energy = -464 meV per atom
1.0
13.7350 0.0000 -1.0980
3.8498 4.4154 -1.7655
-3.8498 4.4154 1.7655
Mn Se Be
2 4 2
direct
0.3420 0.8880 0.0682
0.8420 0.4318 0.6120
0.8306 0.8135 0.3682
0.3306 0.1318 0.6865
0.7764 0.4004 0.9054
0.2764 0.5946 0.0996
0.5684 0.9758 0.7850
0.0684 0.7150 0.5242

***

What calculated total energy values result from the calculations? In sequence: -0.39495 -0.27127 -0.30336 -0.58716 -0.30362 -0.24185 -0.40416 -0.23742 -0.38406 -0.57424 -0.39692 -0.39911 Ry/atom.